Entry 1:
Material: Ho9B4O19
Method: DFT, GGA-PBEsol
State: relaxed

extended XYZ file:
```
64
Lattice="7.166 0.000 0.000 1.776 8.997 0.000 1.806 2.038 12.179" Properties=species:S:1:pos:R:3 pbc="T T T"
Ho 0.859 1.917 2.864
Ho 2.691 6.918 6.638
Ho 2.693 2.872 11.044
Ho 2.703 5.354 2.871
Ho 4.471 9.994 6.298
Ho 4.485 5.907 9.324
Ho 4.455 8.258 1.194
Ho 4.486 4.108 5.552
Ho 6.222 9.135 9.322
Ho 4.527 1.900 2.857
Ho 6.263 6.926 6.627
Ho 6.293 2.776 10.985
Ho 6.264 5.127 2.855
Ho 6.277 1.040 5.881
Ho 8.046 5.680 9.308
Ho 8.055 8.162 1.135
Ho 8.058 4.117 5.542
Ho 9.890 9.118 9.315
B 2.717 3.081 8.280
B 4.518 7.780 12.060
B 2.710 3.104 0.419
B 4.494 8.030 3.911
B 6.254 3.004 8.268
B 8.039 7.931 11.761
B 6.231 3.255 0.119
B 8.031 7.953 3.899
O 1.063 1.904 5.033
O 2.589 6.944 8.941
O 0.827 0.489 1.057
O 2.727 4.147 9.160
O 2.695 5.333 5.031
O 2.697 3.215 6.926
O 2.719 6.745 0.826
O 2.710 1.781 8.833
O 4.495 7.926 10.718
O 2.718 4.505 0.560
O 2.701 2.445 1.602
O 4.475 9.268 3.259
O 4.509 4.567 11.350
O 4.483 7.931 5.280
O 4.484 5.708 7.180
O 4.509 6.917 3.068
O 6.211 10.612 11.166
O 4.385 4.076 3.249
O 4.323 1.899 5.027
O 6.426 9.136 7.152
O 6.363 6.958 8.930
O 4.537 0.423 1.014
O 6.240 4.118 9.111
O 6.265 5.326 4.999
O 6.265 3.104 6.900
O 6.239 6.467 0.830
O 6.274 1.766 8.920
O 8.047 8.590 10.577
O 8.031 6.529 11.619
O 6.254 3.108 1.461
O 8.039 9.254 3.346
O 8.029 4.290 11.353
O 8.052 7.820 5.253
O 8.054 5.701 7.148
O 8.021 6.887 3.019
O 9.921 10.545 11.122
O 8.159 4.091 3.238
O 9.685 9.131 7.147
```

- crystal system = triclinic
- E_form (uncorrected) (eV/atom) = -3.30



Entry 2:
Material: Ho4B6O15
Method: DFT, GGA-PBEsol
State: relaxed

extended XYZ file:
```
50
Lattice="5.800 -2.173 0.000 5.800 2.173 0.000 -2.103 0.000 18.493" Properties=species:S:1:pos:R:3 pbc="T T T"
Ho 2.336 1.292 16.642
Ho 2.751 1.243 12.871
Ho 6.111 1.292 11.097
Ho 5.696 1.243 14.868
Ho 3.802 -1.243 3.625
Ho 3.387 -1.292 7.396
Ho 6.747 -1.243 5.622
Ho 7.163 -1.292 1.850
B 2.740 1.350 9.714
B 4.512 0.887 1.609
B 4.365 1.006 5.648
B 6.185 1.006 3.599
B 5.707 1.350 18.025
B 6.038 0.887 7.637
B 3.460 -0.887 10.856
B 3.791 -1.350 0.467
B 3.313 -1.006 14.894
B 5.133 -1.006 12.845
B 4.987 -0.887 16.883
B 6.758 -1.350 8.779
O -0.581 0.539 18.125
O 0.640 0.556 13.021
O 3.435 1.038 2.581
O 2.421 0.882 8.313
O 5.275 1.619 4.623
O 4.819 1.417 7.014
O 5.730 1.417 2.232
O 0.470 -0.539 8.878
O 3.640 0.564 10.545
O 1.691 -0.556 3.774
O 3.354 0.424 14.845
O 7.115 1.038 6.666
O 4.806 0.564 17.194
O 5.093 0.424 12.894
O 1.370 -0.882 17.559
O 8.129 0.882 0.933
O 4.405 -0.424 5.599
O 4.692 -0.564 1.299
O 2.383 -1.038 11.827
O 6.144 -0.424 3.648
O 7.807 0.556 14.718
O 5.858 -0.564 7.947
O 9.028 0.539 9.614
O 3.768 -1.417 16.260
O 4.679 -1.417 11.479
O 4.223 -1.619 13.869
O 7.077 -0.882 10.180
O 6.063 -1.038 15.912
O 8.859 -0.556 5.472
O 10.079 -0.539 0.368
```

- crystal system = monoclinic
- E_form (uncorrected) (eV/atom) = -3.04



Entry 3:
Material: Ho2B3O8
Method: DFT, GGA-PBEsol
State: relaxed

extended XYZ file:
```
52
Lattice="12.771 0.000 0.000 0.000 4.311 0.000 0.000 0.000 8.805" Properties=species:S:1:pos:R:3 pbc="T T T"
Ho 1.768 0.222 0.326
Ho 1.768 4.090 4.728
Ho 4.617 1.934 4.728
Ho 4.617 2.377 0.326
Ho 8.153 1.934 8.478
Ho 8.153 2.377 4.076
Ho 11.003 0.222 4.076
Ho 11.003 4.090 8.478
B 0.000 1.846 6.603
B 0.000 2.465 2.201
B 2.465 2.083 2.661
B 2.465 2.228 7.064
B 3.920 0.073 7.064
B 3.920 4.239 2.661
B 6.385 0.309 2.201
B 6.385 4.002 6.603
B 8.851 0.073 6.143
B 8.851 4.239 1.741
B 10.305 2.083 1.741
B 10.305 2.228 6.143
O 0.067 0.928 7.746
O 0.067 3.384 3.343
O 1.198 1.592 2.092
O 1.198 2.720 6.494
O 2.402 1.992 4.101
O 2.402 2.319 8.504
O 2.740 0.849 6.576
O 2.740 3.463 2.174
O 3.646 1.307 2.174
O 3.646 3.004 6.576
O 3.984 0.164 8.504
O 3.984 4.148 4.101
O 5.187 0.564 6.494
O 5.187 3.748 2.092
O 6.318 1.228 3.343
O 6.318 3.083 7.746
O 6.453 1.228 1.059
O 6.453 3.083 5.461
O 7.584 0.564 6.713
O 7.584 3.748 2.310
O 8.787 0.164 4.703
O 8.787 4.148 0.301
O 9.125 1.307 2.228
O 9.125 3.004 6.630
O 10.031 0.849 6.630
O 10.031 3.463 2.228
O 10.369 1.992 0.301
O 10.369 2.319 4.703
O 11.572 1.592 2.310
O 11.572 2.720 6.713
O 12.703 0.928 5.461
O 12.703 3.384 1.059
```

- crystal system = orthorhombic
- E_form (uncorrected) (eV/atom) = -2.86



Entry 4:
Material: Ho2ReB6
Method: DFT, GGA-PBEsol
State: relaxed

extended XYZ file:
```
36
Lattice="9.101 0.000 0.000 0.000 11.459 0.000 0.000 0.000 3.625" Properties=species:S:1:pos:R:3 pbc="T T T"
Ho 0.522 1.489 0.000
Ho 1.613 4.741 0.000
Ho 2.937 10.470 0.000
Ho 4.028 7.218 0.000
Ho 5.073 4.240 0.000
Ho 6.164 0.988 0.000
Ho 7.488 6.717 0.000
Ho 8.579 9.970 0.000
Re 1.260 7.785 0.000
Re 3.290 2.055 0.000
Re 5.810 9.403 0.000
Re 7.841 3.674 0.000
B 0.169 3.302 1.813
B 0.483 6.495 1.813
B 0.906 11.140 1.813
B 1.185 9.335 1.813
B 1.894 2.690 1.813
B 2.268 6.656 1.813
B 2.282 0.927 1.813
B 2.656 8.419 1.813
B 3.365 3.605 1.813
B 3.644 5.410 1.813
B 4.068 0.766 1.813
B 4.382 9.031 1.813
B 4.719 2.427 1.813
B 5.033 10.693 1.813
B 5.457 6.048 1.813
B 5.735 7.853 1.813
B 6.444 3.039 1.813
B 6.818 10.532 1.813
B 6.833 4.803 1.813
B 7.207 8.768 1.813
B 7.916 2.124 1.813
B 8.194 0.319 1.813
B 8.618 4.963 1.813
B 8.932 8.157 1.813
```

- crystal system = orthorhombic
- formation energy from the elements (meV per atom) = -715



Entry 5:
Material: HoB4Rh4
Method: DFT, GGA-PBEsol
State: relaxed

extended XYZ file:
```
18
Lattice="5.270 0.000 0.000 0.000 5.270 0.000 0.000 0.000 7.351" Properties=species:S:1:pos:R:3 pbc="T T T"
Ho 1.318 3.953 1.838
Ho 3.953 1.318 5.513
B 0.420 1.318 0.740
B 1.318 0.420 4.415
B 1.318 2.215 4.415
B 2.215 1.318 0.740
B 3.055 3.953 6.612
B 3.953 3.055 2.936
B 3.953 4.850 2.936
B 4.850 3.953 6.612
Rh 0.007 3.953 4.445
Rh 1.318 2.642 6.582
Rh 1.318 5.263 6.582
Rh 2.628 3.953 4.445
Rh 2.642 1.318 2.907
Rh 3.953 0.007 0.769
Rh 3.953 2.628 0.769
Rh 5.263 1.318 2.907
```

- crystal system = tetragonal
- formation energy from the elements (meV per atom) = -648



Entry 6:
Material: Ho2B6Ru
Method: DFT, GGA-PBEsol
State: relaxed

extended XYZ file:
```
36
Lattice="9.058 0.000 0.000 0.000 11.414 0.000 0.000 0.000 3.600" Properties=species:S:1:pos:R:3 pbc="T T T"
Ho 0.512 1.460 0.000
Ho 1.610 4.726 0.000
Ho 2.919 10.433 0.000
Ho 4.016 7.167 0.000
Ho 5.041 4.247 0.000
Ho 6.139 0.981 0.000
Ho 7.448 6.688 0.000
Ho 8.545 9.955 0.000
B 0.154 3.281 1.800
B 0.487 6.471 1.800
B 0.974 11.076 1.800
B 1.189 9.302 1.800
B 1.895 2.669 1.800
B 2.247 6.621 1.800
B 2.282 0.913 1.800
B 2.634 8.376 1.800
B 3.340 3.595 1.800
B 3.555 5.368 1.800
B 4.042 0.763 1.800
B 4.375 8.989 1.800
B 4.683 2.426 1.800
B 5.016 10.651 1.800
B 5.503 6.046 1.800
B 5.718 7.820 1.800
B 6.424 3.038 1.800
B 6.776 10.501 1.800
B 6.811 4.794 1.800
B 7.163 8.745 1.800
B 7.869 2.113 1.800
B 8.084 0.339 1.800
B 8.571 4.944 1.800
B 8.904 8.133 1.800
Ru 1.248 7.749 0.000
Ru 3.281 2.042 0.000
Ru 5.777 9.372 0.000
Ru 7.810 3.665 0.000
```

- crystal system = orthorhombic
- formation energy from the elements (meV per atom) = -759



| no. | E_tot (Ry per atom) | size of the total moment (μB/f.u.) |
| --- | --- | --- |
| 1 | -0.6386 | 1.0 |
| 2 | -0.6366 | 0.0 |
| 3 | -0.6229 | 1.1 |
| 4 | -0.5861 | 0.0 |
| 5 | -0.5831 | 0.0 |
| 6 | -0.5635 | 0.0 |